Entry 1:
A relaxed structure of CoSiTePb2. Source: Alexandria via LeMat-Bulk, functional PBE-GGA.

Computed properties:
Crystal system: tetragonal
N(E_F) (states/eV/atom): 0.7671
Offset from the most stable computed form (meV per atom): 0
Formation energy from raw total energies (eV per formula unit): 2.111

a b c (Å): 5.591 4.394 5.591
angles (deg): 90.00 90.00 90.00
Fractional coordinates of all 5 atoms:
Pb1 0.000 0.000 0.500
Pb2 0.500 0.000 0.000
Si1 0.000 0.000 0.000
Te1 0.500 0.500 0.500
Co1 0.000 0.500 0.000

Entry 2:
A relaxed structure of CoSiTePb2. Source: Alexandria via LeMat-Bulk, functional PBE-GGA.

Computed properties:
Crystal system: tetragonal
N(E_F) (states/eV/atom): 1.2104
Offset from the most stable computed form (meV per atom): 727
Formation energy from raw total energies (eV per formula unit): 5.746

a b c (Å): 5.474 5.474 5.389
angles (deg): 90.00 90.00 90.00
Fractional coordinates of all 5 atoms:
Pb1 0.000 0.500 0.000
Pb2 0.500 0.000 0.000
Si1 0.000 0.000 0.000
Te1 0.000 0.000 0.500
Co1 0.500 0.500 0.500

Entry 3:
A relaxed structure of Sm3Co3Pb. Source: Alexandria via LeMat-Bulk, functional PBE-GGA.

Computed properties:
Crystal system: hexagonal
N(E_F) (states/eV/atom): 1.4199
Final energy (eV per formula unit): -40.6

a b c (Å): 3.829 9.952 9.952
angles (deg): 120.00 90.00 90.00
Fractional coordinates of all 14 atoms:
Sm1 0.750 0.371 0.313
Sm2 0.750 0.942 0.629
Sm3 0.750 0.687 0.058
Sm4 0.250 0.629 0.687
Sm5 0.250 0.058 0.371
Sm6 0.250 0.313 0.942
Co1 0.750 0.020 0.152
Co2 0.750 0.133 0.980
Co3 0.750 0.848 0.867
Co4 0.250 0.980 0.848
Co5 0.250 0.867 0.020
Co6 0.250 0.152 0.133
Pb1 0.750 0.333 0.667
Pb2 0.250 0.667 0.333

Entry 4:
A relaxed structure of Sm12CoPb6. Source: Alexandria via LeMat-Bulk, functional PBE-GGA.

Computed properties:
Crystal system: trigonal
N(E_F) (states/eV/atom): 1.0593
Final energy (eV per formula unit): -91.9

a b c (Å): 8.549 8.549 8.549
angles (deg): 91.95 91.95 91.95
Fractional coordinates of all 19 atoms:
Sm1 0.799 0.581 0.450
Sm2 0.450 0.799 0.581
Sm3 0.581 0.450 0.799
Sm4 0.201 0.419 0.550
Sm5 0.550 0.201 0.419
Sm6 0.419 0.550 0.201
Sm7 0.958 0.080 0.302
Sm8 0.920 0.698 0.042
Sm9 0.698 0.042 0.920
Sm10 0.042 0.920 0.698
Sm11 0.080 0.302 0.958
Sm12 0.302 0.958 0.080
Co1 0.000 0.000 0.000
Pb1 0.636 0.865 0.258
Pb2 0.742 0.364 0.135
Pb3 0.135 0.742 0.364
Pb4 0.364 0.135 0.742
Pb5 0.258 0.636 0.865
Pb6 0.865 0.258 0.636

Entry 5:
A relaxed structure of Sm7Co2Pb2. Source: Alexandria via LeMat-Bulk, functional PBE-GGA.

Computed properties:
Crystal system: orthorhombic
N(E_F) (states/eV/atom): 0.8534
Final energy (eV per formula unit): -56.5

a b c (Å): 6.918 7.211 6.918
angles (deg): 90.00 108.22 90.00
Fractional coordinates of all 11 atoms:
Sm1 0.000 0.238 0.500
Sm2 0.500 0.762 0.000
Sm3 0.000 0.762 0.500
Sm4 0.500 0.238 0.000
Sm5 0.000 0.000 0.000
Sm6 0.500 0.778 0.500
Sm7 0.500 0.222 0.500
Co1 0.713 0.000 0.287
Co2 0.287 0.000 0.713
Pb1 0.813 0.500 0.813
Pb2 0.187 0.500 0.187

Entry 6:
A relaxed structure of Sm3CoPb. Source: Alexandria via LeMat-Bulk, functional PBE-GGA.

Computed properties:
Crystal system: monoclinic
N(E_F) (states/eV/atom): 0.9781
Offset from the most stable computed form (meV per atom): 50

a b c (Å): 5.416 5.165 11.022
angles (deg): 103.55 104.46 90.00
Fractional coordinates of all 10 atoms:
Sm1 0.698 0.947 0.894
Sm2 0.302 0.053 0.106
Sm3 0.431 0.681 0.363
Sm4 0.569 0.319 0.637
Sm5 0.080 0.828 0.657
Sm6 0.920 0.172 0.343
Co1 0.431 0.182 0.364
Co2 0.569 0.818 0.636
Pb1 0.188 0.433 0.867
Pb2 0.812 0.567 0.133

| no. | calculated volume (Å³ per cell) |
| --- | --- |
| 1 | 137 |
| 2 | 161 |
| 3 | 328 |
| 4 | 624 |
| 5 | 328 |
| 6 | 290 |